WO | Alexandria | PBE with a Hubbard U | relaxed; E above lowest polymorph = 0 meV per atom
1.0
-1.055 2.278 -8.709
2.108 -8.463 -2.469
-2.965 -0.783 0.154
W O
8 8
direct
0.728 0.380 0.500 W
0.380 0.272 0.500 W
0.857 0.621 0.000 W
0.143 0.379 0.000 W
0.621 0.143 0.000 W
0.620 0.728 0.500 W
0.272 0.620 0.500 W
0.379 0.857 0.000 W
0.147 0.226 0.500 O
0.898 0.392 0.000 O
0.226 0.853 0.500 O
0.608 0.898 0.000 O
0.853 0.774 0.500 O
0.774 0.147 0.500 O
0.102 0.608 0.000 O
0.392 0.102 0.000 O